Record 1
A plane-wave DFT calculation with GGA-PBE was carried out for crystalline NaCaPt3 at its relaxed geometry.

```
NaCaPt3
1.0
4.7393 0.0000 0.0000
0.0000 4.7393 0.0000
0.0000 0.0000 4.7393
Na Pt Ca
1 3 1
Direct
0.0000 0.0000 0.0000
0.5000 0.0000 0.0000
0.0000 0.5000 0.0000
0.0000 0.0000 0.5000
0.5000 0.5000 0.5000
```

Computed properties:
**Electronic total energy**: -3.754 eV/atom
**V**: 106.5 Å³/cell

Record 2
A plane-wave DFT calculation with GGA-PBE was carried out for crystalline NaCa2Pt2 at its relaxed geometry.

```
NaCa2Pt2
1.0
-2.2404 -2.0012 -2.5403
0.5931 -3.2922 2.0704
-8.4052 -0.7481 4.9560
Pt Na Ca
2 1 2
Direct
0.7500 0.2500 0.5000
0.2500 0.7500 0.5000
0.0000 0.0000 0.0000
0.3604 0.3604 0.2792
0.6396 0.6396 0.7208
```

Computed properties:
**Electronic total energy**: -3.874 eV/atom
**V**: 145.2 Å³/cell

Record 3
A plane-wave DFT calculation with GGA-PBE was carried out for crystalline NaCaPt10 at its relaxed geometry.

```
NaCaPt10
1.0
-2.8038 -0.9997 -3.2641
2.4874 -4.7219 -0.6904
-5.7642 -3.9368 6.1572
Pt Na Ca
10 1 1
Direct
0.5000 0.5000 0.0000
0.0000 0.5000 0.8309
0.0000 0.0000 0.6651
0.0000 0.0000 0.3349
0.5000 0.0000 0.5000
0.5000 0.2491 0.2492
0.5000 0.7509 0.7508
0.0000 0.5000 0.1691
0.5000 0.7509 0.2492
0.5000 0.2491 0.7508
0.0000 0.5000 0.5000
0.0000 0.0000 0.0000
```

Computed properties:
**Electronic total energy**: -5.653 eV/atom
**V**: 221.3 Å³/cell